Entry 1:
Crystalline SrOsPd2 at its relaxed geometry, computed with PBE.

Geometry as POSCAR:
```
SrOsPd2
1.0
-0.984 4.922 0.356
-1.263 0.100 -4.870
-9.064 0.777 -0.232
Pd Os Sr
4 2 2
direct
0.875 0.057 0.750
0.807 0.125 0.250
0.375 0.193 0.750
0.943 0.625 0.250
0.000 0.000 0.000
0.750 0.250 0.500
0.500 0.500 0.000
0.250 0.750 0.500
```

Calculated formation energy = 0.5137 eV per atom
Symmetry = I-42d
Offset from the most stable computed form = 52 meV per atom
Calculated total energy = -5.311 eV per atom
Total magnetic moment = 0.00 μB per formula unit
V = 212.1 Å³ per cell

Entry 2:
Crystalline TiN2 at its relaxed geometry, computed with PBE.

Geometry as POSCAR:
```
TiN2
1.0
-2.174 2.174 2.662
2.174 -2.174 2.662
2.174 2.174 -2.662
N Ti
4 2
direct
0.113 0.387 0.500
0.387 0.887 0.275
0.613 0.113 0.725
0.887 0.613 0.500
0.750 0.750 0.000
0.250 0.250 0.000
```

Symmetry = I4/mcm
Calculated total energy = -8.936 eV per atom
Formation energy (no corrections) = -72.8 kJ per mole of atoms
Total magnetic moment = 0.00 μB per formula unit
V = 50.3 Å³ per cell

Entry 3:
Crystalline BaGd2Tl at its relaxed geometry, computed with PBE.

Geometry as POSCAR:
```
BaGd2Tl
1.0
3.813 0.000 0.000
0.000 3.813 0.000
0.000 0.000 9.985
Ba Tl Gd
1 1 2
direct
0.500 0.500 0.500
0.500 0.500 0.000
0.000 0.000 0.190
0.000 0.000 0.810
```

Calculated formation energy = -0.0667 eV per atom
Symmetry = P4/mmm
Offset from the most stable computed form = 0 meV per atom
Calculated total energy = -8.179 eV per atom
Total magnetic moment = 15.17 μB per formula unit
V = 145.2 Å³ per cell

Entry 4:
Crystalline As2PtO8 at its relaxed geometry, computed with PBE.

Geometry as POSCAR:
```
As2PtO8
1.0
-2.961 3.709 -3.256
-3.963 -1.985 2.611
-0.756 2.279 4.550
O Pt As
8 1 2
direct
0.158 0.097 0.647
0.274 0.166 0.166
0.726 0.834 0.834
0.842 0.903 0.353
0.842 0.353 0.903
0.612 0.392 0.392
0.158 0.647 0.097
0.388 0.608 0.608
0.000 0.000 0.000
0.300 0.386 0.386
0.700 0.614 0.614
```

Symmetry = C2/m
Calculated total energy = -5.588 eV per atom
Formation energy (no corrections) = -56.7 kJ per mole of atoms
Total magnetic moment = 0.39 μB per formula unit
V = 138.2 Å³ per cell

Entry 5:
Crystalline RbHg at its relaxed geometry, computed with PBE.

Geometry as POSCAR:
```
RbHg
1.0
-8.428 -1.205 -9.649
7.818 -8.433 -5.775
-2.363 -3.941 2.556
Rb Hg
8 8
direct
0.000 0.263 0.500
0.237 0.500 0.000
0.500 0.763 0.000
0.737 0.000 0.500
0.500 0.237 0.000
0.263 0.000 0.500
0.763 0.500 0.000
0.000 0.737 0.500
0.207 0.793 0.000
0.207 0.207 0.000
0.707 0.293 0.500
0.293 0.293 0.500
0.793 0.207 0.000
0.707 0.707 0.500
0.793 0.793 0.000
0.293 0.707 0.500
```

Calculated formation energy = -0.1875 eV per atom
Symmetry = I4/mmm
Calculated total energy = -0.822 eV per atom
Total magnetic moment = 0.00 μB per formula unit
V = 870.8 Å³ per cell

Entry 6:
Crystalline NaTeHI2 at its relaxed geometry, computed with PBE.

Geometry as POSCAR:
```
NaTeHI2
1.0
5.961 0.000 0.000
0.000 5.961 0.000
0.000 0.000 3.950
H I Na Te
1 2 1 1
direct
0.000 0.000 0.000
0.500 0.000 0.000
0.000 0.500 0.000
0.500 0.500 0.500
0.000 0.000 0.500
```

Symmetry = P4/mmm
Offset from the most stable computed form = 0 meV per atom
Calculated total energy = -2.286 eV per atom
Total magnetic moment = 0.00 μB per formula unit
V = 140.3 Å³ per cell